K3Ce3TcS8: optimized geometry, PBE.

Cell: 7.998 7.998 8.836 Å, 116.89 90.01 120.00°
Site moments in Bohr magnetons follow the coordinates.
Positions (direct):
S (0.760, 0.974, 0.688)  0.00
S (0.737, 0.473, 0.710)  -0.01
S (0.214, 0.428, 0.688)  0.00
S (0.240, 0.026, 0.312)  0.00
S (0.263, 0.527, 0.290)  -0.01
S (0.786, 0.026, 0.312)  0.00
S (0.214, 0.974, 0.688)  0.00
S (0.786, 0.572, 0.312)  0.00
Ce (0.500, 0.000, 0.500)  0.57
Ce (0.000, 0.500, 0.500)  0.57
Ce (0.500, 0.500, 0.500)  0.57
Tc (0.000, 0.000, 0.500)  1.39
K (0.000, 0.500, 0.000)  0.00
K (0.500, 0.500, 0.000)  0.00
K (0.000, 0.000, 0.000)  0.00

Output
Fermi-level density of states: 1.434 states/eV per atom
Uncorrected formation energy: -33.7 kcal/mol of atoms
Symmetry: No. 166
Crystal system: trigonal